This record from the Alexandria database describes a relaxed Ce6H2C3N crystal. The functional is PBE.

Computed properties:
total magnetic moment: 2.3 Bohr magnetons per cell
final energy: -84.19 eV per formula unit

```
Ce6H2C3N
1.0
3.595 0.000 0.000
0.000 7.300 0.250
-1.798 -2.108 7.551
Ce H C N
6 2 3 1
Direct
0.335 0.924 0.670
0.662 0.597 0.324
0.665 0.076 0.330
0.002 0.246 0.003
0.998 0.754 0.997
0.338 0.403 0.676
0.830 0.658 0.659
0.170 0.342 0.341
0.500 0.500 0.000
0.837 0.165 0.674
0.163 0.835 0.326
0.500 0.000 0.000
```


This record from the Alexandria database describes a relaxed Ce4HCN2 crystal. The functional is PBE.

Computed properties:
total magnetic moment: 0.7 Bohr magnetons per cell
final energy: -59.76 eV per formula unit

```
Ce4HCN2
1.0
-4.725 1.263 1.299
-1.797 -2.803 -3.811
3.028 -3.264 4.332
Ce H C N
4 1 1 2
Direct
0.937 0.437 0.000
0.437 0.937 0.000
0.182 0.182 0.489
0.692 0.692 0.511
0.437 0.437 0.000
0.937 0.937 0.000
0.187 0.687 0.500
0.687 0.187 0.500
```


This record from the Alexandria database describes a relaxed Ce6HC3N2 crystal. The functional is PBE.

Computed properties:
total magnetic moment: 1.5 Bohr magnetons per cell
final energy: -90.94 eV per formula unit

```
Ce6HC3N2
1.0
3.620 0.000 0.000
0.000 7.254 0.306
-1.810 -2.044 7.567
Ce H C N
6 1 3 2
Direct
0.332 0.913 0.664
0.669 0.582 0.338
0.668 0.087 0.336
0.001 0.261 0.002
0.999 0.739 0.998
0.331 0.418 0.662
0.500 0.000 0.000
0.500 0.500 0.000
0.831 0.164 0.661
0.169 0.836 0.339
0.834 0.667 0.669
0.166 0.333 0.331
```


This record from the Alexandria database describes a relaxed Na2CeH2C5O11 crystal. The functional is PBE.

Computed properties:
total magnetic moment: 4.1 Bohr magnetons per cell
final energy: -149.23 eV per formula unit

```
Na2CeH2C5O11
1.0
-1.268 -7.880 8.630
5.845 -4.322 -3.088
11.919 2.879 4.380
Na Ce H C O
8 4 8 20 44
Direct
0.802 0.788 0.570
0.698 0.788 0.070
0.198 0.212 0.430
0.302 0.212 0.930
0.191 0.216 0.169
0.309 0.216 0.669
0.809 0.784 0.831
0.691 0.784 0.331
0.820 0.301 0.823
0.680 0.301 0.323
0.180 0.699 0.177
0.320 0.699 0.677
0.931 0.815 0.349
0.569 0.815 0.849
0.069 0.185 0.651
0.431 0.185 0.151
0.903 0.006 0.354
0.597 0.006 0.854
0.097 0.994 0.646
0.403 0.994 0.146
0.027 0.081 0.010
0.473 0.081 0.510
0.973 0.919 0.990
0.527 0.919 0.490
0.082 0.418 0.737
0.418 0.418 0.237
0.918 0.582 0.263
0.582 0.582 0.763
0.036 0.609 0.726
0.464 0.609 0.226
0.964 0.391 0.274
0.536 0.391 0.774
0.755 0.391 0.549
0.745 0.391 0.049
0.245 0.609 0.451
0.255 0.609 0.951
0.778 0.179 0.599
0.722 0.179 0.099
0.222 0.821 0.401
0.278 0.821 0.901
0.981 0.240 0.963
0.519 0.240 0.463
0.019 0.760 0.037
0.481 0.760 0.537
0.115 0.041 0.074
0.385 0.041 0.574
0.885 0.959 0.926
0.615 0.959 0.426
0.008 0.303 0.732
0.492 0.303 0.232
0.992 0.697 0.268
0.508 0.697 0.768
0.188 0.391 0.748
0.312 0.391 0.248
0.812 0.609 0.252
0.688 0.609 0.752
0.930 0.621 0.741
0.570 0.621 0.241
0.070 0.379 0.259
0.430 0.379 0.759
0.108 0.741 0.699
0.392 0.741 0.199
0.892 0.259 0.301
0.608 0.259 0.801
0.783 0.474 0.610
0.717 0.474 0.110
0.217 0.526 0.390
0.283 0.526 0.890
0.712 0.468 0.451
0.788 0.468 0.951
0.288 0.532 0.549
0.212 0.532 0.049
0.801 0.099 0.704
0.699 0.099 0.204
0.199 0.901 0.296
0.301 0.901 0.796
0.772 0.103 0.531
0.728 0.103 0.031
0.228 0.897 0.469
0.272 0.897 0.969
0.887 0.870 0.392
0.613 0.870 0.892
0.113 0.130 0.608
0.387 0.130 0.108
```


This record from the Alexandria database describes a relaxed Ce4HC2O crystal. The functional is PBE.

Computed properties:
total magnetic moment: 0.0 Bohr magnetons per cell
final energy: -58.05 eV per formula unit

```
Ce4HC2O
1.0
-1.915 -1.667 2.556
4.443 1.341 4.204
-4.145 4.589 -0.113
Ce H C O
4 1 2 1
Direct
0.500 0.248 0.251
0.500 0.752 0.749
0.000 0.242 0.741
0.000 0.758 0.259
0.500 0.500 0.000
0.500 0.000 0.500
0.000 0.500 0.500
0.000 0.000 0.000
```


This record from the Alexandria database describes a relaxed Ce6H3C2O crystal. The functional is PBE.

Computed properties:
total magnetic moment: 0.2 Bohr magnetons per cell
final energy: -78.21 eV per formula unit

```
Ce6H3C2O
1.0
6.113 -0.002 0.000
-3.057 5.294 0.000
-1.019 -1.765 6.036
Ce H C O
6 3 2 1
Direct
0.921 0.587 0.763
0.745 0.745 0.240
0.079 0.413 0.237
0.587 0.921 0.763
0.255 0.255 0.760
0.413 0.079 0.237
0.174 0.826 0.500
0.826 0.174 0.500
0.500 0.500 0.500
0.334 0.666 0.000
0.666 0.334 0.000
0.000 0.000 0.000
```


This record from the Alexandria database describes a relaxed Ce8HC3O3 crystal. The functional is PBE.

Computed properties:
total magnetic moment: 1.7 Bohr magnetons per cell
final energy: -112.14 eV per formula unit

```
Ce8HC3O3
1.0
7.189 0.000 0.000
-3.594 6.226 -0.022
0.000 -4.130 5.818
Ce H C O
8 1 3 3
Direct
0.248 0.496 0.243
0.752 0.504 0.757
0.748 0.497 0.250
0.252 0.503 0.750
0.748 0.002 0.250
0.252 0.998 0.750
0.253 0.002 0.250
0.747 0.998 0.750
0.000 0.000 0.500
0.500 0.000 0.500
0.500 0.500 0.500
0.000 0.500 0.500
0.000 0.000 0.000
0.000 0.500 0.000
0.500 0.500 0.000
```


This record from the Alexandria database describes a relaxed Ce4HCO2 crystal. The functional is PBE.

Computed properties:
total magnetic moment: 0.7 Bohr magnetons per cell
final energy: -58.78 eV per formula unit

```
Ce4HCO2
1.0
3.595 0.000 0.000
0.000 6.104 -0.171
0.000 2.100 5.829
Ce H C O
4 1 1 2
Direct
0.000 0.764 0.737
0.000 0.236 0.263
0.500 0.749 0.250
0.500 0.251 0.750
0.500 0.500 0.000
0.000 0.500 0.500
0.000 0.000 0.000
0.500 0.000 0.500
```


This record from the Alexandria database describes a relaxed CeP2H2CO6 crystal. The functional is PBE.

Computed properties:
total magnetic moment: 0.0 Bohr magnetons per cell
final energy: -85.85 eV per formula unit

```
CeP2H2CO6
1.0
-6.742 0.187 4.575
-0.742 -3.141 -7.484
-0.744 -5.235 1.074
Ce P H C O
2 4 4 2 12
Direct
0.733 0.267 0.500
0.267 0.733 0.500
0.635 0.866 0.868
0.866 0.635 0.868
0.365 0.134 0.132
0.134 0.365 0.132
0.809 0.809 0.521
0.191 0.191 0.479
0.593 0.593 0.742
0.407 0.407 0.258
0.724 0.724 0.736
0.276 0.276 0.264
0.504 0.887 0.704
0.887 0.504 0.704
0.496 0.113 0.296
0.113 0.496 0.296
0.801 0.079 0.793
0.079 0.801 0.793
0.199 0.921 0.207
0.921 0.199 0.207
0.522 0.764 0.172
0.764 0.522 0.172
0.478 0.236 0.828
0.236 0.478 0.828
```


This record from the Alexandria database describes a relaxed Ce6HC3S2 crystal. The functional is PBE.

Computed properties:
total magnetic moment: 2.6 Bohr magnetons per cell
final energy: -84.94 eV per formula unit

```
Ce6HC3S2
1.0
-3.335 1.665 -0.452
0.248 -1.564 -7.590
-2.095 -7.382 3.861
Ce H C S
6 1 3 2
Direct
0.329 0.942 0.658
0.662 0.597 0.324
0.671 0.058 0.342
0.988 0.265 0.977
0.012 0.735 0.023
0.338 0.403 0.676
0.500 0.000 0.000
0.500 0.500 0.000
0.830 0.166 0.661
0.170 0.834 0.339
0.837 0.675 0.675
0.163 0.325 0.325
```


This record from the Alexandria database describes a relaxed CeHfC2 crystal. The functional is PBE.

Computed properties:
ΔH_f (0 K): -0.55 eV per formula unit
total magnetic moment: 0.0 Bohr magnetons per cell
energy above the most stable polymorph in this dataset: 286 meV per atom

```
CeHfC2
1.0
3.433 0.000 0.000
1.716 2.973 0.000
1.716 0.991 5.896
Ce Hf C
1 1 2
Direct
0.673 0.673 0.980
0.501 0.501 0.498
0.088 0.088 0.735
0.238 0.238 0.287
```


This record from the Alexandria database describes a relaxed CeHfC2 crystal. The functional is PBE.

Computed properties:
ΔH_f (0 K): -1.70 eV per formula unit
total magnetic moment: 0.0 Bohr magnetons per cell
energy above the most stable polymorph in this dataset: 0 meV per atom

```
CeHfC2
1.0
-0.739 0.823 3.259
0.616 -2.255 2.526
5.287 1.712 2.583
C Hf Ce
2 1 1
Direct
0.258 0.258 0.225
0.742 0.742 0.775
0.000 0.000 0.000
0.500 0.500 0.500
```